The following is a PBE calculation of ScSb2TePd after structural relaxation, from Alexandria.

Cell: 5.1722 5.1722 5.3640 Å, 90.00 90.00 90.00°
Last column: nearest neighbours and their distance in Å.
Positions (direct):
Sc 0.0000 0.0000 0.0000  4 Te 3.66, 8 Sb 3.73
Sb 0.0000 0.5000 0.5000  2 Pd 2.59
Sb 0.5000 0.0000 0.5000  2 Pd 2.59
Te 0.5000 0.5000 0.0000  2 Pd 2.68
Pd 0.5000 0.5000 0.5000  4 Sb 2.59, 2 Te 2.68

Calculated volume in Å³/cell: 143.5
Density in g/cm³: 6.0
ΔE_f (raw) in kJ/mol of formula units: 56

=====

The following is a PBE calculation of ThScSb2Pd2 after structural relaxation, from Alexandria.

Cell: 4.5966 4.5966 7.2356 Å, 90.00 90.00 120.00°
Last column: nearest neighbours and their distance in Å.
Positions (direct):
Th 0.0000 0.0000 0.0000  6 Sb 3.25, 6 Pd 3.52, 2 Sc 3.62
Sc 0.0000 0.0000 0.5000  6 Pd 2.96, 6 Sb 3.17
Sb 0.3333 0.6667 0.2597  3 Pd 2.69
Sb 0.6667 0.3333 0.7403  3 Pd 2.69
Pd 0.3333 0.6667 0.6812  3 Sb 2.69, 3 Sc 2.96
Pd 0.6667 0.3333 0.3188  3 Sb 2.69, 3 Sc 2.96

Calculated volume in Å³/cell: 132.4
Density in g/cm³: 9.2
ΔE_f (raw) in kJ/mol of formula units: -532

=====

The following is a PBE calculation of SbPd3Se after structural relaxation, from Alexandria.

Cell: 7.8602 7.8602 6.6023 Å, 90.37 90.37 80.17°
Last column: nearest neighbours and their distance in Å.
Positions (direct):
Sb 0.0940 0.2948 0.2446  6 Pd 2.67-2.86
Sb 0.2948 0.0940 0.7446  6 Pd 2.67-2.86
Sb 0.7052 0.9060 0.2554  6 Pd 2.67-2.86
Sb 0.9060 0.7052 0.7554  6 Pd 2.67-2.86
Pd 0.0513 0.3594 0.6412  1 Se 2.62, 3 Sb 2.67-2.86, 1 Pd 2.90
Pd 0.1654 0.5508 0.9994  2 Se 2.49-2.60, 2 Sb 2.71-2.72
Pd 0.3194 0.4879 0.4060  3 Se 2.57-2.68, 1 Sb 2.73
Pd 0.3594 0.0513 0.1412  1 Se 2.62, 3 Sb 2.67-2.86, 1 Pd 2.90
Pd 0.4492 0.8346 0.5006  2 Se 2.49-2.60, 2 Sb 2.71-2.72
Pd 0.4879 0.3194 0.9060  3 Se 2.57-2.68, 1 Sb 2.73
Pd 0.5121 0.6806 0.0940  3 Se 2.57-2.68, 1 Sb 2.73
Pd 0.5508 0.1654 0.4994  2 Se 2.49-2.60, 2 Sb 2.71-2.72
Pd 0.6406 0.9487 0.8588  1 Se 2.62, 3 Sb 2.67-2.86, 1 Pd 2.90
Pd 0.6806 0.5121 0.5940  3 Se 2.57-2.68, 1 Sb 2.73
Pd 0.8346 0.4492 0.0006  2 Se 2.49-2.60, 2 Sb 2.71-2.72
Pd 0.9487 0.6406 0.3588  1 Se 2.62, 3 Sb 2.67-2.86, 1 Pd 2.90
Se 0.2008 0.7992 0.2500  6 Pd 2.60-2.68
Se 0.3781 0.6219 0.7500  6 Pd 2.49-2.60
Se 0.6219 0.3781 0.2500  6 Pd 2.49-2.60
Se 0.7992 0.2008 0.7500  6 Pd 2.60-2.68

Calculated volume in Å³/cell: 401.9
Density in g/cm³: 8.6
ΔE_f (raw) in kJ/mol of formula units: -132

=====

The following is a PBE calculation of SbPd3Se6 after structural relaxation, from Alexandria.

Cell: 10.2513 3.8512 11.6542 Å, 90.00 107.51 90.00°
Last column: nearest neighbours and their distance in Å.
Positions (direct):
Sb 0.0051 0.2500 0.3115  3 Se 2.74-2.83
Sb 0.9949 0.7500 0.6885  3 Se 2.74-2.83
Pd 0.1587 0.7500 0.0661  6 Se 2.51-2.64
Pd 0.3565 0.2500 0.5433  6 Se 2.55-2.71
Pd 0.4526 0.7500 0.8417  6 Se 2.55-2.82
Pd 0.5474 0.2500 0.1583  6 Se 2.55-2.82
Pd 0.6435 0.7500 0.4567  6 Se 2.55-2.71
Pd 0.8413 0.2500 0.9339  6 Se 2.51-2.64
Se 0.0793 0.2500 0.9051  3 Pd 2.56-2.64
Se 0.1622 0.7500 0.4719  2 Pd 2.71, 2 Sb 2.83
Se 0.2168 0.2500 0.2132  2 Pd 2.53, 1 Sb 2.74, 1 Se 2.76
Se 0.2963 0.2500 0.7402  3 Pd 2.55-2.56
Se 0.3977 0.7500 0.0499  4 Pd 2.51-2.65
Se 0.4769 0.2500 0.3740  4 Pd 2.56-2.82, 1 Se 2.76
Se 0.5231 0.7500 0.6260  4 Pd 2.56-2.82, 1 Se 2.76
Se 0.6023 0.2500 0.9501  4 Pd 2.51-2.65
Se 0.7037 0.7500 0.2598  3 Pd 2.55-2.56
Se 0.7832 0.7500 0.7868  2 Pd 2.53, 1 Sb 2.74, 1 Se 2.76
Se 0.8378 0.2500 0.5281  2 Pd 2.71, 2 Sb 2.83
Se 0.9207 0.7500 0.0949  3 Pd 2.56-2.64

Calculated volume in Å³/cell: 438.8
Density in g/cm³: 6.9
ΔE_f (raw) in kJ/mol of formula units: -211

=====

| no. | E (eV per atom) |
| --- | --- |
| 1 | -4.4670 |
| 2 | -6.3163 |
| 3 | -4.9097 |
| 4 | -4.2799 |